1.
Density functional theory data (GGA-PBE) for an optimized crystal structure of Er4CoAu.

Structure (extended XYZ):
```
12
Lattice="4.3630 -6.5378 0.0000 4.3630 6.5378 0.0000 -2.9646 0.0000 5.2226" Properties=species:S:1:pos:R:3 pbc="T T T"
Er 0.6311 4.2341 4.7699
Er 0.4034 0.8481 3.6339
Er 3.6480 4.2341 3.0639
Er 1.8857 -0.8481 1.0226
Er 3.8757 0.8481 4.2000
Er 2.1134 -4.2341 2.1586
Er 5.3580 -0.8481 1.5887
Er 5.1303 -4.2341 0.4527
Co 3.6218 -6.5321 1.3056
Co 2.1395 6.5321 3.9169
Au 3.6218 1.7181 1.3056
Au 2.1395 -1.7181 3.9169
```

Summary:
Energy relative to the elements in eV/atom: -0.39

***

2.
Density functional theory data (GGA-PBE) for an optimized crystal structure of ErGa3CoAu.

Structure (extended XYZ):
```
12
Lattice="3.0312 -6.1807 0.0000 3.0312 6.1807 0.0000 0.0000 0.0000 5.7339" Properties=species:S:1:pos:R:3 pbc="T T T"
Er 3.0312 3.3148 4.3004
Er 3.0312 -3.3148 1.4335
Ga 1.2623 0.0000 0.0000
Ga 1.2623 0.0000 2.8669
Ga 3.0312 1.6581 1.4335
Ga 3.0312 -1.6581 4.3004
Ga 4.8001 0.0000 0.0000
Ga 4.8001 0.0000 2.8669
Co 3.0312 0.7682 4.3004
Co 3.0312 -0.7682 1.4335
Au 3.0312 4.1947 1.4335
Au 3.0312 -4.1947 4.3004
```

Summary:
Energy relative to the elements in eV/atom: -0.31

***

3.
Density functional theory data (GGA-PBE) for an optimized crystal structure of GdErCoAu.

Structure (extended XYZ):
```
4
Lattice="0.0000 3.4854 3.4854 3.4854 0.0000 3.4854 3.4854 3.4854 0.0000" Properties=species:S:1:pos:R:3 pbc="T T T"
Gd 0.0000 0.0000 0.0000
Er 3.4854 3.4854 3.4854
Co 1.7427 1.7427 1.7427
Au 5.2280 5.2280 5.2280
```

Summary:
Energy relative to the elements in eV/atom: -0.43

***

4.
Density functional theory data (GGA-PBE) for an optimized crystal structure of ErHfCoAu.

Structure (extended XYZ):
```
4
Lattice="0.0000 3.3741 3.3741 3.3741 0.0000 3.3741 3.3741 3.3741 0.0000" Properties=species:S:1:pos:R:3 pbc="T T T"
Er 0.0000 0.0000 0.0000
Hf 3.3741 3.3741 3.3741
Co 5.0612 5.0612 5.0612
Au 1.6871 1.6871 1.6871
```

Summary:
Energy relative to the elements in eV/atom: -0.35

***

5.
Density functional theory data (GGA-PBE) for an optimized crystal structure of HoErCoAu.

Structure (extended XYZ):
```
4
Lattice="0.0000 3.4618 3.4618 3.4618 0.0000 3.4618 3.4618 3.4618 0.0000" Properties=species:S:1:pos:R:3 pbc="T T T"
Ho 0.0000 0.0000 0.0000
Er 3.4618 3.4618 3.4618
Co 1.7309 1.7309 1.7309
Au 5.1927 5.1927 5.1927
```

Summary:
Energy relative to the elements in eV/atom: -0.47

***

6.
Density functional theory data (GGA-PBE) for an optimized crystal structure of ErMgCoAu.

Structure (extended XYZ):
```
4
Lattice="0.0000 3.3367 3.3367 3.3367 0.0000 3.3367 3.3367 3.3367 0.0000" Properties=species:S:1:pos:R:3 pbc="T T T"
Er 0.0000 0.0000 0.0000
Mg 3.3367 3.3367 3.3367
Co 5.0051 5.0051 5.0051
Au 1.6684 1.6684 1.6684
```

Summary:
Energy relative to the elements in eV/atom: -0.33

***

7.
Density functional theory data (GGA-PBE) for an optimized crystal structure of NdErCoAu.

Structure (extended XYZ):
```
4
Lattice="0.0000 3.5372 3.5372 3.5372 0.0000 3.5372 3.5372 3.5372 0.0000" Properties=species:S:1:pos:R:3 pbc="T T T"
Nd 0.0000 0.0000 0.0000
Er 3.5372 3.5372 3.5372
Co 5.3059 5.3059 5.3059
Au 1.7686 1.7686 1.7686
```

Summary:
Energy relative to the elements in eV/atom: -0.37

***

8.
Density functional theory data (GGA-PBE) for an optimized crystal structure of ErPuCoAu.

Structure (extended XYZ):
```
4
Lattice="0.0000 3.4865 3.4865 3.4865 0.0000 3.4865 3.4865 3.4865 0.0000" Properties=species:S:1:pos:R:3 pbc="T T T"
Er 0.0000 0.0000 0.0000
Pu 3.4865 3.4865 3.4865
Co 5.2298 5.2298 5.2298
Au 1.7433 1.7433 1.7433
```

Summary:
Energy relative to the elements in eV/atom: -0.23

***

- Among the records above, which one has the highest energy relative to the elements?
  ErPuCoAu

***

- Which value of energy relative to the elements does entry 1 give?
  -0.39 eV/atom

***

- Among the records above, which one has the lowest energy relative to the elements?
  HoErCoAu